Record 1
{"formula": "CaBeFe2", "functional": "PBE", "state": "relaxed", "crystal_system": "tetragonal", "ef_ev_per_atom": 0.303, "n_ef_per_ev_cell": 5.2, "cell": [[3.029, 0.000, 0.000], [0.000, 3.029, 0.000], [0.000, 0.000, 6.613]], "species": ["Be", "Ca", "Fe", "Fe"], "frac_coords": [[0.000, 0.000, 0.417], [0.500, 0.500, 0.743], [0.000, 0.000, 0.080], [0.500, 0.500, 0.260]]}

Record 2
{"formula": "SnOsNF2", "functional": "PBE", "state": "relaxed", "crystal_system": "tetragonal", "n_ef_per_ev_cell": 2.3, "raw_formation_energy_ev_per_atom": -0.348, "cell": [[-0.001, 2.927, 3.369], [-0.171, -3.366, 2.925], [3.757, -0.108, 0.096]], "species": ["N", "Os", "Sn", "F", "F"], "frac_coords": [[0.000, 0.000, 0.500], [0.000, 0.000, 0.000], [0.500, 0.500, 0.500], [0.000, 0.500, 0.000], [0.500, 0.000, 0.000]]}

Record 3
{"formula": "TaGa2Ni", "functional": "PBE", "state": "relaxed", "crystal_system": "trigonal", "ef_ev_per_atom": -0.157, "n_ef_per_ev_cell": 3.2, "cell": [[-0.689, 0.128, -2.816], [-0.576, -2.437, -1.465], [-8.505, -0.068, 0.584]], "species": ["Ta", "Ga", "Ga", "Ni"], "frac_coords": [[0.501, 0.501, 0.498], [0.074, 0.074, 0.778], [0.259, 0.259, 0.223], [0.666, 0.666, 0.001]]}

Record 4
{"formula": "Li2CuH4O4", "functional": "PBE", "state": "relaxed", "crystal_system": "orthorhombic", "cell": [[7.057, 0.000, 0.000], [0.000, 6.693, 0.000], [0.000, 0.000, 7.926]], "species": ["Li", "Li", "Li", "Li", "Li", "Li", "Li", "Li", "Cu", "Cu", "Cu", "Cu", "H", "H", "H", "H", "H", "H", "H", "H", "H", "H", "H", "H", "H", "H", "H", "H", "O", "O", "O", "O", "O", "O", "O", "O", "O", "O", "O", "O", "O", "O", "O", "O"], "frac_coords": [[0.018, 0.877, 0.743], [0.168, 0.530, 0.963], [0.332, 0.030, 0.463], [0.482, 0.377, 0.243], [0.518, 0.623, 0.743], [0.668, 0.970, 0.963], [0.832, 0.470, 0.463], [0.982, 0.123, 0.243], [0.245, 0.497, 0.509], [0.255, 0.997, 0.009], [0.745, 0.003, 0.509], [0.755, 0.503, 0.009], [0.023, 0.197, 0.575], [0.977, 0.803, 0.075], [0.977, 0.241, 0.944], [0.131, 0.475, 0.225], [0.219, 0.806, 0.253], [0.281, 0.306, 0.753], [0.369, 0.975, 0.725], [0.523, 0.741, 0.444], [0.523, 0.303, 0.575], [0.477, 0.697, 0.075], [0.477, 0.259, 0.944], [0.631, 0.025, 0.225], [0.719, 0.694, 0.253], [0.781, 0.194, 0.753], [0.869, 0.525, 0.725], [0.023, 0.759, 0.444], [0.025, 0.677, 0.546], [0.053, 0.793, 0.972], [0.281, 0.455, 0.751], [0.247, 0.542, 0.261], [0.253, 0.042, 0.761], [0.219, 0.955, 0.251], [0.447, 0.293, 0.472], [0.475, 0.177, 0.046], [0.525, 0.823, 0.546], [0.553, 0.707, 0.972], [0.781, 0.045, 0.751], [0.747, 0.958, 0.261], [0.753, 0.458, 0.761], [0.719, 0.545, 0.251], [0.947, 0.207, 0.472], [0.975, 0.323, 0.046]]}

Number 1: final energy -5.360 eV per atom. Number 2: final energy -5.808 eV per atom. Number 3: final energy -6.079 eV per atom. Number 4: final energy -4.933 eV per atom.